1.
Compound: MnAgIr
Source: Alexandria
Functional: PBE-GGA
Structure: relaxed

Geometry as POSCAR:
```
MnAgIr
1.0
4.1723 0.0000 0.0000
2.0862 3.6134 0.0000
2.0862 1.2045 3.4067
Ag Ir Mn
1 1 1
Direct
0.0000 0.0000 0.0000
0.5000 0.5000 0.5000
0.7500 0.7500 0.7500
```

Total magnetization in μB per formula unit: 3.11
Formation energy from the elements in eV/atom: 0.589
VASP energy in eV per atom: -6.37


2.
Compound: Ca2TlCdOs
Source: Alexandria
Functional: PBE-GGA
Structure: relaxed

Geometry as POSCAR:
```
Ca2TlCdOs
1.0
5.8342 0.0000 0.0000
0.0000 5.2023 0.0000
0.0000 0.0000 5.8342
Tl Os Ca Cd
1 1 2 1
Direct
0.0000 0.0000 0.0000
0.5000 0.5000 0.5000
0.0000 0.0000 0.5000
0.5000 0.0000 0.0000
0.0000 0.5000 0.0000
```

Total magnetization in μB per formula unit: 2.62
Formation energy from the elements in eV/atom: 1.214
VASP energy in eV per atom: -2.49


3.
Compound: Nd12TmTl6
Source: Alexandria
Functional: PBE-GGA
Structure: relaxed

Geometry as POSCAR:
```
Nd12TmTl6
1.0
8.3560 0.6918 0.8287
-0.5830 8.3643 0.8287
-0.5830 -0.6792 8.3777
Nd Tm Tl
12 1 6
Direct
0.8084 0.5287 0.4368
0.4368 0.8084 0.5287
0.5287 0.4368 0.8084
0.1916 0.4713 0.5632
0.5632 0.1916 0.4713
0.4713 0.5632 0.1916
0.0801 0.1203 0.3841
0.8797 0.6159 0.9199
0.6159 0.9199 0.8797
0.9199 0.8797 0.6159
0.1203 0.3841 0.0801
0.3841 0.0801 0.1203
0.0000 0.0000 0.0000
0.7258 0.8739 0.2531
0.7469 0.2742 0.1261
0.1261 0.7469 0.2742
0.2742 0.1261 0.7469
0.2531 0.7258 0.8739
0.8739 0.2531 0.7258
```

Total magnetization in μB per formula unit: 0.00
Formation energy from the elements in eV/atom: -0.164
VASP energy in eV per atom: -4.16


4.
Compound: KScC
Source: Alexandria
Functional: PBE-GGA
Structure: relaxed

Geometry as POSCAR:
```
KScC
1.0
-2.1107 -2.0251 -6.2737
-0.9316 -3.4684 1.4330
-11.5808 4.1648 2.5518
Sc K C
4 4 4
Direct
0.0672 0.2500 0.9169
0.4328 0.7500 0.4169
0.9328 0.7500 0.0831
0.5672 0.2500 0.5831
0.9221 0.2500 0.3837
0.5779 0.7500 0.8837
0.0779 0.7500 0.6163
0.4221 0.2500 0.1163
0.3254 0.2500 0.4716
0.1746 0.7500 0.9716
0.6746 0.7500 0.5284
0.8254 0.2500 0.0284
```

Total magnetization in μB per formula unit: 0.00
Formation energy from the elements in eV/atom: 0.416
VASP energy in eV per atom: -5.13


5.
Compound: Cs2GeSbOs
Source: Alexandria
Functional: PBE-GGA
Structure: relaxed

Geometry as POSCAR:
```
Cs2GeSbOs
1.0
-1.7029 5.5409 2.4932
-1.1004 -2.2887 4.3348
5.9167 0.9232 1.9894
Cs Sb Ge Os
2 1 1 1
Direct
0.0000 0.0000 0.5000
0.5000 0.0000 0.0000
0.0000 0.5000 0.0000
0.5000 0.5000 0.5000
0.0000 0.0000 0.0000
```

Total magnetization in μB per formula unit: 2.94
VASP energy in eV per atom: -3.40


6.
Compound: SiPdRh2
Source: Alexandria
Functional: PBE-GGA
Structure: relaxed

Geometry as POSCAR:
```
SiPdRh2
1.0
2.8136 0.0000 0.0000
1.4068 2.4367 0.0000
1.4068 0.8122 8.2537
Si Rh Pd
1 2 1
Direct
0.0000 0.0000 0.0000
0.7389 0.7389 0.7832
0.2611 0.2611 0.2168
0.5000 0.5000 0.5000
```

Total magnetization in μB per formula unit: 0.00
VASP energy in eV per atom: -6.74


7.
Compound: Cu3HF
Source: Alexandria
Functional: PBE-GGA
Structure: relaxed

Geometry as POSCAR:
```
Cu3HF
1.0
3.6973 0.0000 0.0000
0.0000 3.6973 0.0000
0.0000 0.0000 3.6973
H Cu F
1 3 1
Direct
0.0000 0.0000 0.0000
0.0000 0.5000 0.0000
0.0000 0.0000 0.5000
0.5000 0.0000 0.0000
0.5000 0.5000 0.5000
```

Total magnetization in μB per formula unit: 0.00
VASP energy in eV per atom: -3.59